The following is a PBE calculation of a relaxed structure of Al2BN, from Alexandria via LeMat-Bulk.

Values from the calculation:
The uncorrected formation energy is -0.13 eV/atom. The volume is 12.73 A^3/atom.

abc: 4.9202 4.9202 8.4109
angles: 90.00 90.00 90.00
Closest atoms and distances in Å follow each position.
Space group I-42d (No. 122)
Unique sites:
Al: 0.2040 0.2500 0.1250  2 N 1.90
B: 0.0000 0.0000 0.5000  4 Al 2.18
N: 0.0000 0.0000 0.0000  4 Al 1.90



The following is a PBE calculation of a relaxed structure of AlBN2, from Alexandria via LeMat-Bulk.

Values from the calculation:
The uncorrected formation energy is -1.08 eV/atom. The volume is 8.09 A^3/atom.

abc: 4.1036 4.1036 7.6852
angles: 90.00 90.00 90.00
Closest atoms and distances in Å follow each position.
Space group I-42d (No. 122)
Unique sites:
Al: 0.0000 0.0000 0.0000  4 N 1.88
B: 0.0000 0.0000 0.5000  4 N 1.62
N: 0.1941 0.2500 0.6250  2 B 1.62



The following is a PBE calculation of a relaxed structure of Al2BN, from Alexandria via LeMat-Bulk.

Values from the calculation:
The uncorrected formation energy is 0.84 eV/atom. The volume is 10.32 A^3/atom.

abc: 5.4863 5.4863 5.4863
angles: 90.00 90.00 90.00
Closest atoms and distances in Å follow each position.
Space group Fm-3m (No. 225)
Unique sites:
Al: 0.2500 0.2500 0.2500  4 B 2.38, 4 N 2.38
B: 0.0000 0.0000 0.0000  8 Al 2.38
N: 0.0000 0.0000 0.5000  8 Al 2.38



Repeat the third record exactly.
The following is a PBE calculation of a relaxed structure of Al2BN, from Alexandria via LeMat-Bulk.

Values from the calculation:
The uncorrected formation energy is 0.84 eV/atom. The volume is 10.32 A^3/atom.

abc: 5.4863 5.4863 5.4863
angles: 90.00 90.00 90.00
Closest atoms and distances in Å follow each position.
Space group Fm-3m (No. 225)
Unique sites:
Al: 0.2500 0.2500 0.2500  4 B 2.38, 4 N 2.38
B: 0.0000 0.0000 0.0000  8 Al 2.38
N: 0.0000 0.0000 0.5000  8 Al 2.38